No. 1
An optimized crystal structure of AsRu. Source: the Alexandria database, functional GGA-PBE.

abc: 6.5980 6.5980 3.8928
angles: 90.00 90.00 154.60
With the nearest neighbours (Å) after each atom.
Fractional coordinates of all 4 atoms:
As (0.1230, 0.8770, 0.7500)  5 Ru 2.45-2.56
As (0.8770, 0.1230, 0.2500)  5 Ru 2.45-2.56
Ru (0.3136, 0.6864, 0.7500)  5 As 2.45-2.56
Ru (0.6864, 0.3136, 0.2500)  5 As 2.45-2.56

Summary:
N(E_F)	4.8	states/eV per cell
formation energy from the elements	0.013	eV/atom

No. 2
An optimized crystal structure of Ca3LaGe. Source: the Alexandria database, functional GGA-PBE.

abc: 5.7570 5.7570 5.7570
angles: 90.00 90.00 90.00
With the nearest neighbours (Å) after each atom.
Fractional coordinates of all 5 atoms:
Ca (0.0000, 0.0000, 0.5000)  2 Ge 2.88
Ca (0.0000, 0.5000, 0.0000)  2 Ge 2.88
Ca (0.5000, 0.0000, 0.0000)  2 Ge 2.88
La (0.5000, 0.5000, 0.5000)  12 Ca 4.07
Ge (0.0000, 0.0000, 0.0000)  6 Ca 2.88

Summary:
N(E_F)	4.7	states/eV per cell
formation energy from the elements	-0.042	eV/atom

No. 3
An optimized crystal structure of AgHg2Os. Source: the Alexandria database, functional GGA-PBE.

abc: 3.1759 4.7942 4.7934
angles: 90.00 90.00 90.00
With the nearest neighbours (Å) after each atom.
Fractional coordinates of all 4 atoms:
Ag (0.0000, 0.0000, 0.0000)  8 Hg 2.87-2.88, 2 Ag 3.18
Hg (0.5000, 0.0000, 0.5008)  4 Ag 2.87-2.88, 4 Os 2.88, 2 Hg 3.18
Hg (0.5000, 0.5000, 0.0038)  4 Os 2.87-2.88, 4 Ag 2.88, 2 Hg 3.18
Os (0.0000, 0.5000, 0.5039)  8 Hg 2.87-2.88, 2 Os 3.18

Summary:
N(E_F)	1.8	states/eV per cell
formation energy from the elements	0.655	eV/atom

No. 4
An optimized crystal structure of BPRhCl. Source: the Alexandria database, functional GGA-PBE.

abc: 3.6711 3.6711 6.9552
angles: 104.73 104.73 75.37
With the nearest neighbours (Å) after each atom.
Fractional coordinates of all 4 atoms:
B (0.0000, 0.0000, 0.0000)  1 Cl 1.72, 1 P 1.87
P (0.2969, 0.2969, 0.2115)  1 B 1.87
Rh (0.9150, 0.9150, 0.2530)  1 B 1.97
Cl (0.8522, 0.8522, 0.7423)  1 B 1.72

Summary:
energy relative to the elements, uncorrected	-0.143	eV per atom
N(E_F)	0.8	states/eV per cell

No. 5
An optimized crystal structure of TiCr2HPt. Source: the Alexandria database, functional GGA-PBE.

abc: 3.7398 3.7398 4.0750
angles: 90.00 90.00 90.00
With the nearest neighbours (Å) after each atom.
Fractional coordinates of all 5 atoms:
Ti (0.0000, 0.0000, 0.0000)  2 H 2.04
Cr (0.0000, 0.5000, 0.5000)  2 H 1.87
Cr (0.5000, 0.0000, 0.5000)  2 H 1.87
H (0.0000, 0.0000, 0.5000)  4 Cr 1.87, 2 Ti 2.04
Pt (0.5000, 0.5000, 0.0000)  4 Ti 2.64, 8 Cr 2.77

Summary:
E	-0.5546	Ry/atom
N(E_F)	5.2	states/eV per cell

No. 6
An optimized crystal structure of K2BeGe. Source: the Alexandria database, functional GGA-PBE.

abc: 5.8737 5.8737 4.2065
angles: 90.00 90.00 120.00
With the nearest neighbours (Å) after each atom.
Fractional coordinates of all 4 atoms:
K (0.3333, 0.6667, 0.2654)  3 Be 3.53, 3 Ge 3.57, 3 K 3.92
K (0.6667, 0.3333, 0.7346)  3 Be 3.53, 3 Ge 3.57, 3 K 3.92
Be (0.0000, 0.0000, 0.5000)  2 Ge 2.10
Ge (0.0000, 0.0000, 0.0000)  2 Be 2.10

Summary:
N(E_F)	0.9	states/eV per cell
formation energy from the elements	0.060	eV/atom